1.
Material: BC
Method: DFT, GGA-PBE
State: optimized geometry

Structure (POSCAR):
```
BC
1.0
4.091 -1.319 0.000
4.091 1.319 0.000
-3.479 0.000 7.246
B C
6 6
Cartesian
0.000 0.000 0.000
0.494 0.000 4.599
2.451 0.000 1.864
2.632 0.000 3.554
4.355 0.000 2.356
2.875 0.000 6.624
-1.052 0.000 4.421
-1.668 0.000 5.774
1.041 0.000 3.019
4.673 0.000 0.728
6.283 0.000 0.973
5.020 0.000 5.622
```

Calculated values
Magnetic moment, Bohr magnetons per cell: 0.0
Energy of formation from the pure elements, eV per atom: 0.3795
Space group: Cm (8)
Total energy, eV per atom: -7.571

2.
Material: B3C7
Method: DFT, GGA-PBE
State: optimized geometry

Structure (POSCAR):
```
B3C7
1.0
6.864 -1.286 0.000
6.864 1.286 0.000
-0.996 0.000 3.633
B C
3 7
Cartesian
0.000 0.000 0.000
7.374 0.000 2.345
9.460 0.000 1.634
0.687 0.000 3.174
2.636 0.000 0.690
4.149 0.000 0.198
5.082 0.000 1.466
6.556 0.000 1.002
10.255 0.000 2.981
11.704 0.000 2.342
```

Calculated values
Magnetic moment, Bohr magnetons per cell: 0.0
Energy of formation from the pure elements, eV per atom: 0.2930
Space group: Cm (8)
Total energy, eV per atom: -8.167

3.
Material: B3C
Method: DFT, GGA-PBE
State: optimized geometry

Structure (POSCAR):
```
B3C
1.0
8.641 -1.349 0.000
8.641 1.349 0.000
-1.224 0.000 4.725
B C
9 3
Cartesian
0.000 0.000 0.000
-0.389 0.000 1.583
3.426 0.000 2.560
4.611 0.000 4.668
6.382 0.000 1.786
7.722 0.000 3.751
12.633 0.000 0.176
13.926 0.000 1.939
14.407 0.000 4.534
3.105 0.000 4.130
7.914 0.000 2.258
12.378 0.000 1.774
```

Calculated values
Magnetic moment, Bohr magnetons per cell: 0.0
Energy of formation from the pure elements, eV per atom: 0.3660
Space group: Cm (8)
Total energy, eV per atom: -6.948

4.
Material: BC
Method: DFT, GGA-PBE
State: optimized geometry

Structure (POSCAR):
```
BC
1.0
6.835 -1.297 0.000
6.835 1.297 0.000
-1.589 0.000 5.050
B C
6 6
Cartesian
0.000 0.000 0.000
-0.111 0.000 1.878
4.478 0.000 0.606
7.897 0.000 0.724
8.495 0.000 3.558
11.284 0.000 3.607
3.176 0.000 1.662
2.417 0.000 4.090
3.673 0.000 3.117
7.501 0.000 2.373
9.259 0.000 1.382
12.309 0.000 0.950
```

Calculated values
Magnetic moment, Bohr magnetons per cell: 0.0
Energy of formation from the pure elements, eV per atom: 0.3854
Space group: Cm (8)
Total energy, eV per atom: -7.565

5.
Material: B7C5
Method: DFT, GGA-PBE
State: optimized geometry

Structure (POSCAR):
```
B7C5
1.0
2.543 0.000 0.000
-1.271 2.202 0.000
0.000 0.000 14.581
B C
7 5
Cartesian
0.000 0.000 0.000
0.000 0.000 1.670
0.000 0.000 8.506
0.000 1.468 2.731
0.000 1.468 10.737
1.271 0.734 11.822
1.271 0.734 13.505
0.000 0.000 6.881
0.000 1.468 4.317
0.000 1.468 9.200
1.271 0.734 4.818
1.271 0.734 6.396
```

Calculated values
Magnetic moment, Bohr magnetons per cell: 0.0
Energy of formation from the pure elements, eV per atom: 0.4514
Space group: P3m1 (156)
Total energy, eV per atom: -7.287

6.
Material: B7C5
Method: DFT, GGA-PBE
State: optimized geometry

Structure (POSCAR):
```
B7C5
1.0
4.731 0.000 0.000
0.000 2.727 0.000
-1.626 0.000 6.159
B C
7 5
Cartesian
0.000 0.000 0.000
-0.830 1.364 3.978
-0.054 0.000 1.924
0.881 1.364 1.162
0.753 1.364 5.716
1.514 0.000 3.949
2.951 0.000 1.282
-0.819 1.364 5.718
-0.072 0.000 3.441
2.366 1.364 1.927
1.518 0.000 5.757
2.321 1.364 3.419
```

Calculated values
Magnetic moment, Bohr magnetons per cell: 0.0
Energy of formation from the pure elements, eV per atom: 0.2496
Space group: Pm (6)
Total energy, eV per atom: -7.489

7.
Material: BC
Method: DFT, GGA-PBE
State: optimized geometry

Structure (POSCAR):
```
BC
1.0
2.680 0.000 0.000
0.000 2.701 0.000
0.000 0.000 11.539
B C
6 6
Cartesian
0.000 0.000 0.000
0.000 0.000 3.333
0.000 1.351 4.863
1.340 0.000 6.468
1.340 0.000 10.073
1.340 1.351 1.729
0.000 0.000 7.523
0.000 1.351 0.690
0.000 1.351 8.349
1.340 0.000 2.634
1.340 1.351 5.568
1.340 1.351 9.288
```

Calculated values
Magnetic moment, Bohr magnetons per cell: 0.0
Energy of formation from the pure elements, eV per atom: 0.3858
Space group: Pmm2 (25)
Total energy, eV per atom: -7.565

8.
Material: BC
Method: DFT, GGA-PBE
State: optimized geometry

Structure (POSCAR):
```
BC
1.0
4.121 0.000 0.000
0.000 2.553 0.000
-0.330 0.000 8.221
B C
6 6
Cartesian
0.000 0.000 0.000
-0.172 0.000 5.910
0.557 1.277 3.200
0.984 1.277 5.522
1.322 1.277 0.071
2.617 0.000 3.840
1.832 1.277 4.146
1.926 1.277 6.907
2.402 1.277 1.183
2.796 0.000 6.918
3.065 0.000 1.546
3.902 0.000 2.834
```

Calculated values
Magnetic moment, Bohr magnetons per cell: 0.0
Energy of formation from the pure elements, eV per atom: 0.3626
Space group: Pm (6)
Total energy, eV per atom: -7.588

9.
Material: B7C5
Method: DFT, GGA-PBE
State: optimized geometry

Structure (POSCAR):
```
B7C5
1.0
6.378 -1.260 0.000
6.378 1.260 0.000
-0.608 0.000 5.002
B C
7 5
Cartesian
0.000 0.000 0.000
2.576 0.000 2.486
4.364 0.000 1.745
4.237 0.000 3.353
6.123 0.000 2.530
8.333 0.000 1.307
10.479 0.000 0.556
0.237 0.000 3.537
1.728 0.000 3.950
6.750 0.000 0.993
8.427 0.000 4.752
10.708 0.000 4.231
```

Calculated values
Magnetic moment, Bohr magnetons per cell: 0.0
Energy of formation from the pure elements, eV per atom: 0.4337
Space group: Cm (8)
Total energy, eV per atom: -7.305

10.
Material: B7C5
Method: DFT, GGA-PBE
State: optimized geometry

Structure (POSCAR):
```
B7C5
1.0
4.447 -1.299 0.000
4.447 1.299 0.000
-4.388 0.000 7.093
B C
7 5
Cartesian
0.000 0.000 0.000
0.744 0.000 1.591
-0.247 0.000 4.478
2.558 0.000 0.995
2.244 0.000 2.691
0.860 0.000 6.223
4.113 0.000 2.392
-1.765 0.000 4.977
2.348 0.000 5.782
4.836 0.000 3.924
7.331 0.000 0.133
6.335 0.000 3.651
```

Calculated values
Magnetic moment, Bohr magnetons per cell: 0.0
Energy of formation from the pure elements, eV per atom: 0.4081
Space group: Cm (8)
Total energy, eV per atom: -7.330

11.
Material: BC
Method: DFT, GGA-PBE
State: optimized geometry

Structure (POSCAR):
```
BC
1.0
4.375 -1.287 0.000
4.375 1.287 0.000
-0.531 0.000 4.994
B C
4 4
Cartesian
0.370 0.000 1.370
2.500 0.000 0.583
5.720 0.000 4.411
7.849 0.000 3.624
1.714 0.000 2.161
4.093 0.000 0.740
4.126 0.000 4.254
6.505 0.000 2.833
```

Calculated values
Magnetic moment, Bohr magnetons per cell: 0.0
Energy of formation from the pure elements, eV per atom: 0.3348
Space group: C2/m (12)
Total energy, eV per atom: -7.616

12.
Material: B7C5
Method: DFT, GGA-PBE
State: optimized geometry

Structure (POSCAR):
```
B7C5
1.0
2.389 0.000 0.000
0.000 2.492 0.000
0.000 0.000 13.598
B C
7 5
Cartesian
0.000 0.000 0.000
0.000 0.000 3.983
0.000 0.000 8.321
0.000 1.246 9.607
1.195 0.000 6.971
1.195 0.000 12.241
1.195 1.246 10.960
0.000 1.246 1.017
0.000 1.246 5.029
1.195 0.000 2.810
1.195 1.246 1.938
1.195 1.246 5.883
```

Calculated values
Magnetic moment, Bohr magnetons per cell: 0.0
Energy of formation from the pure elements, eV per atom: 0.3723
Space group: Pmm2 (25)
Total energy, eV per atom: -7.366

Question: Which formula does entry 8 have?
Answer: BC

Question: Look up the total energy of the seventh one.
Answer: -7.565 eV per atom

Question: Look up the energy of formation from the pure elements of the ninth one.
Answer: 0.4337 eV per atom

Question: Number 6 is which compound?
Answer: B7C5